(1)
DFT (GGA-PBE) results for an optimized crystal structure of NdSmAu2.

Its total energy is -4.8257 eV per atom. The formation energy is -0.82 eV/atom. The value obtained for the volume is 205 Å³/cell.

It has space group Amm2 (No. 38), with a = 4.760 Å, b = 3.834 Å, c = 11.227 Å, α = 90.00°, β = 90.00° and γ = 90.00°. The asymmetric unit holds Nd at (0.000, 0.000, 0.000), Sm at (0.500, 0.000, 0.724), Au at (0.000, 0.000, 0.274) and Au at (0.500, 0.000, 0.449).

(2)
DFT (GGA-PBE) results for an optimized crystal structure of Sc2ZnAg.

Its total energy is -4.5143 eV per atom. The formation energy is -0.33 eV/atom. The value obtained for the volume is 311 Å³/cell.

It has space group Cmcm (No. 63), with a = 6.663 Å, b = 9.705 Å, c = 4.814 Å, α = 90.00°, β = 90.00° and γ = 90.00°. The asymmetric unit holds Sc at (0.247, 0.120, 0.250), Zn at (0.000, 0.132, 0.750) and Ag at (0.000, 0.363, 0.250).